VASP calculation (GGA-PBEsol) on crystalline Y2BeAgAs at its relaxed geometry.

Summary:
VASP energy: -26.82 eV/cell
magnetization: 0.000 Bohr magnetons per cell
energy relative to the elements: -0.151 eV/atom

a = 4.0293 Å, b = 5.3869 Å, c = 5.3869 Å
α = 90.00°, β = 90.00°, γ = 90.00°
With the nearest neighbours (Å) after each atom.
Sites, in units of the cell vectors:
Y  0.0000  0.0000  0.5000  2 As 2.69
Y  0.0000  0.5000  0.0000  2 As 2.69
Be  0.5000  0.0000  0.0000  2 As 2.01
As  0.0000  0.0000  0.0000  2 Be 2.01
Ag  0.5000  0.5000  0.5000  8 Y 3.36